[1]
This record from Alexandria via LeMat-Bulk describes an optimized crystal structure of Tl3Ag12Pb5. The functional is GGA-PBE.

Lattice parameters (Å, degrees): 14.404 14.404 14.404 109.47 109.47 109.47
Fractional coordinates of all 80 atoms:
Tl  0.125  0.250  0.375
Tl  0.125  0.375  0.750
Tl  0.250  0.375  0.125
Tl  0.250  0.875  0.625
Tl  0.375  0.125  0.250
Tl  0.375  0.750  0.125
Tl  0.625  0.250  0.875
Tl  0.625  0.875  0.750
Tl  0.750  0.125  0.375
Tl  0.750  0.625  0.875
Tl  0.875  0.625  0.250
Tl  0.875  0.750  0.625
Ag  0.074  0.231  0.148
Ag  0.074  0.343  0.925
Ag  0.075  0.648  0.417
Ag  0.075  0.926  0.657
Ag  0.083  0.731  0.657
Ag  0.083  0.852  0.425
Ag  0.148  0.074  0.231
Ag  0.148  0.575  0.917
Ag  0.157  0.231  0.583
Ag  0.157  0.426  0.575
Ag  0.231  0.148  0.074
Ag  0.231  0.583  0.157
Ag  0.269  0.343  0.917
Ag  0.269  0.426  0.352
Ag  0.343  0.917  0.269
Ag  0.343  0.925  0.074
Ag  0.352  0.269  0.426
Ag  0.352  0.583  0.925
Ag  0.417  0.075  0.648
Ag  0.417  0.843  0.769
Ag  0.425  0.083  0.852
Ag  0.425  0.843  0.574
Ag  0.426  0.352  0.269
Ag  0.426  0.575  0.157
Ag  0.574  0.425  0.843
Ag  0.574  0.648  0.731
Ag  0.575  0.157  0.426
Ag  0.575  0.917  0.148
Ag  0.583  0.157  0.231
Ag  0.583  0.925  0.352
Ag  0.648  0.417  0.075
Ag  0.648  0.731  0.574
Ag  0.657  0.075  0.926
Ag  0.657  0.083  0.731
Ag  0.731  0.574  0.648
Ag  0.731  0.657  0.083
Ag  0.769  0.417  0.843
Ag  0.769  0.852  0.926
Ag  0.843  0.574  0.425
Ag  0.843  0.769  0.417
Ag  0.852  0.425  0.083
Ag  0.852  0.926  0.769
Ag  0.917  0.148  0.575
Ag  0.917  0.269  0.343
Ag  0.925  0.074  0.343
Ag  0.925  0.352  0.583
Ag  0.926  0.657  0.075
Ag  0.926  0.769  0.852
Pb  0.000  0.000  0.000
Pb  0.000  0.000  0.500
Pb  0.000  0.500  0.000
Pb  0.000  0.500  0.500
Pb  0.125  0.750  0.875
Pb  0.125  0.875  0.250
Pb  0.250  0.125  0.875
Pb  0.250  0.625  0.375
Pb  0.375  0.250  0.625
Pb  0.375  0.625  0.750
Pb  0.500  0.000  0.000
Pb  0.500  0.000  0.500
Pb  0.500  0.500  0.000
Pb  0.500  0.500  0.500
Pb  0.625  0.375  0.250
Pb  0.625  0.750  0.375
Pb  0.750  0.375  0.625
Pb  0.750  0.875  0.125
Pb  0.875  0.125  0.750
Pb  0.875  0.250  0.125

Output
Its total magnetization is 0.00 μB/f.u. As for the formation enthalpy at 0 K: 0.370 eV per atom. Its density of states at the Fermi level is 8.9 states/eV/f.u.

---

[2]
This record from Alexandria via LeMat-Bulk describes an optimized crystal structure of Tl5Ag12Pb3. The functional is GGA-PBE.

Lattice parameters (Å, degrees): 14.520 14.520 14.520 109.47 109.47 109.47
Fractional coordinates of all 80 atoms:
Tl  0.000  0.000  0.000
Tl  0.000  0.000  0.500
Tl  0.000  0.500  0.000
Tl  0.000  0.500  0.500
Tl  0.125  0.750  0.875
Tl  0.125  0.875  0.250
Tl  0.250  0.125  0.875
Tl  0.250  0.625  0.375
Tl  0.375  0.250  0.625
Tl  0.375  0.625  0.750
Tl  0.500  0.000  0.000
Tl  0.500  0.000  0.500
Tl  0.500  0.500  0.000
Tl  0.500  0.500  0.500
Tl  0.625  0.375  0.250
Tl  0.625  0.750  0.375
Tl  0.750  0.375  0.625
Tl  0.750  0.875  0.125
Tl  0.875  0.125  0.750
Tl  0.875  0.250  0.125
Ag  0.073  0.649  0.419
Ag  0.073  0.924  0.654
Ag  0.076  0.229  0.149
Ag  0.076  0.346  0.927
Ag  0.081  0.729  0.654
Ag  0.081  0.851  0.427
Ag  0.149  0.076  0.229
Ag  0.149  0.573  0.919
Ag  0.154  0.229  0.581
Ag  0.154  0.424  0.573
Ag  0.229  0.149  0.076
Ag  0.229  0.581  0.154
Ag  0.271  0.346  0.919
Ag  0.271  0.424  0.351
Ag  0.346  0.919  0.271
Ag  0.346  0.927  0.076
Ag  0.351  0.271  0.424
Ag  0.351  0.581  0.927
Ag  0.419  0.073  0.649
Ag  0.419  0.846  0.771
Ag  0.424  0.351  0.271
Ag  0.424  0.573  0.154
Ag  0.427  0.081  0.851
Ag  0.427  0.846  0.576
Ag  0.573  0.154  0.424
Ag  0.573  0.919  0.149
Ag  0.576  0.427  0.846
Ag  0.576  0.649  0.729
Ag  0.581  0.154  0.229
Ag  0.581  0.927  0.351
Ag  0.649  0.419  0.073
Ag  0.649  0.729  0.576
Ag  0.654  0.073  0.924
Ag  0.654  0.081  0.729
Ag  0.729  0.576  0.649
Ag  0.729  0.654  0.081
Ag  0.771  0.419  0.846
Ag  0.771  0.851  0.924
Ag  0.846  0.576  0.427
Ag  0.846  0.771  0.419
Ag  0.851  0.427  0.081
Ag  0.851  0.924  0.771
Ag  0.919  0.149  0.573
Ag  0.919  0.271  0.346
Ag  0.924  0.654  0.073
Ag  0.924  0.771  0.851
Ag  0.927  0.076  0.346
Ag  0.927  0.351  0.581
Pb  0.125  0.250  0.375
Pb  0.125  0.375  0.750
Pb  0.250  0.375  0.125
Pb  0.250  0.875  0.625
Pb  0.375  0.125  0.250
Pb  0.375  0.750  0.125
Pb  0.625  0.250  0.875
Pb  0.625  0.875  0.750
Pb  0.750  0.125  0.375
Pb  0.750  0.625  0.875
Pb  0.875  0.625  0.250
Pb  0.875  0.750  0.625

Output
Its total magnetization is 0.00 μB/f.u. As for the formation enthalpy at 0 K: 0.355 eV per atom. Its density of states at the Fermi level is 7.3 states/eV/f.u.

---

[3]
This record from Alexandria via LeMat-Bulk describes an optimized crystal structure of Tl14AgPb. The functional is GGA-PBE.

Lattice parameters (Å, degrees): 10.863 6.808 6.808 73.31 90.00 90.00
Fractional coordinates of all 16 atoms:
Tl  0.000  0.000  0.000
Tl  0.000  0.462  0.462
Tl  0.000  0.510  0.951
Tl  0.000  0.951  0.510
Tl  0.238  0.237  0.237
Tl  0.262  0.791  0.791
Tl  0.269  0.303  0.729
Tl  0.269  0.729  0.303
Tl  0.500  0.057  0.505
Tl  0.500  0.505  0.057
Tl  0.731  0.303  0.729
Tl  0.731  0.729  0.303
Tl  0.738  0.791  0.791
Tl  0.762  0.237  0.237
Ag  0.500  0.577  0.577
Pb  0.500  0.017  0.017

Output
Its total magnetization is 0.00 μB/f.u. As for the formation enthalpy at 0 K: 0.034 eV per atom. Its density of states at the Fermi level is 7.1 states/eV/f.u.

---

[4]
This record from Alexandria via LeMat-Bulk describes an optimized crystal structure of Tl4AgPb. The functional is GGA-PBE.

Lattice parameters (Å, degrees): 6.384 6.384 6.384 60.00 60.00 60.00
Fractional coordinates of all 6 atoms:
Tl  0.125  0.125  0.125
Tl  0.125  0.125  0.625
Tl  0.125  0.625  0.125
Tl  0.625  0.125  0.125
Ag  0.750  0.750  0.750
Pb  0.500  0.500  0.500

Output
Its total magnetization is 0.00 μB/f.u. As for the formation enthalpy at 0 K: 0.249 eV per atom. Its density of states at the Fermi level is 2.4 states/eV/f.u.

---

[5]
This record from Alexandria via LeMat-Bulk describes an optimized crystal structure of TlAg2Pb2. The functional is GGA-PBE.

Lattice parameters (Å, degrees): 9.018 9.018 3.263 90.00 90.00 90.00
Fractional coordinates of all 10 atoms:
Tl  0.000  0.000  0.000
Tl  0.500  0.500  0.000
Ag  0.157  0.343  0.500
Ag  0.343  0.843  0.500
Ag  0.657  0.157  0.500
Ag  0.843  0.657  0.500
Pb  0.139  0.639  0.000
Pb  0.361  0.139  0.000
Pb  0.639  0.861  0.000
Pb  0.861  0.361  0.000

Output
Its total magnetization is 0.00 μB/f.u. As for the formation enthalpy at 0 K: 0.142 eV per atom. Its density of states at the Fermi level is 2.4 states/eV/f.u. Its energy above the most stable polymorph in this dataset is 42 meV per atom.

---

[6]
This record from Alexandria via LeMat-Bulk describes an optimized crystal structure of TlAg3Pb. The functional is GGA-PBE.

Lattice parameters (Å, degrees): 5.398 5.398 5.398 90.00 90.00 90.00
Fractional coordinates of all 5 atoms:
Tl  0.000  0.000  0.000
Ag  0.000  0.500  0.500
Ag  0.500  0.000  0.500
Ag  0.500  0.500  0.000
Pb  0.500  0.500  0.500

Output
Its total magnetization is 0.00 μB/f.u. As for the formation enthalpy at 0 K: 0.445 eV per atom. Its density of states at the Fermi level is 0.8 states/eV/f.u. Its energy above the most stable polymorph in this dataset is 0 meV per atom.

---

[7]
This record from Alexandria via LeMat-Bulk describes an optimized crystal structure of TlAg2Pb2. The functional is GGA-PBE.

Lattice parameters (Å, degrees): 7.103 7.103 7.103 140.63 140.63 56.90
Fractional coordinates of all 5 atoms:
Tl  0.000  0.000  0.000
Ag  0.392  0.392  0.000
Ag  0.608  0.608  0.000
Pb  0.250  0.750  0.500
Pb  0.750  0.250  0.500

Output
Its total magnetization is 0.00 μB/f.u. As for the formation enthalpy at 0 K: 0.174 eV per atom. Its density of states at the Fermi level is 2.8 states/eV/f.u. Its energy above the most stable polymorph in this dataset is 75 meV per atom.

---

[8]
This record from Alexandria via LeMat-Bulk describes an optimized crystal structure of Tl12AgPb3. The functional is GGA-PBE.

Lattice parameters (Å, degrees): 4.994 4.994 19.134 90.00 90.00 90.00
Fractional coordinates of all 16 atoms:
Tl  0.000  0.000  0.000
Tl  0.000  0.000  0.244
Tl  0.000  0.000  0.500
Tl  0.000  0.000  0.756
Tl  0.000  0.500  0.116
Tl  0.000  0.500  0.374
Tl  0.000  0.500  0.626
Tl  0.000  0.500  0.884
Tl  0.500  0.000  0.116
Tl  0.500  0.000  0.374
Tl  0.500  0.000  0.626
Tl  0.500  0.000  0.884
Ag  0.500  0.500  0.000
Pb  0.500  0.500  0.245
Pb  0.500  0.500  0.500
Pb  0.500  0.500  0.755

Output
Its total magnetization is 0.00 μB/f.u. As for the formation enthalpy at 0 K: 0.046 eV per atom. Its density of states at the Fermi level is 7.2 states/eV/f.u.